Material: Nd3Dy2PuTe6
Method: DFT, GGA-PBE
State: relaxed

Unit cell a=4.404 b=8.939 c=9.949 alpha=103.55 beta=102.79 gamma=90.00
Site moments in Bohr magnetons follow the coordinates.
Positions (direct):
Nd  0.500  0.500  0.000  -0.01
Nd  0.835  0.166  0.670  0.01
Nd  0.165  0.834  0.330  0.01
Dy  0.836  0.672  0.673  0.04
Dy  0.164  0.328  0.327  0.04
Pu  0.500  0.000  0.000  5.56
Te  0.334  0.910  0.668  -0.01
Te  0.671  0.576  0.341  0.00
Te  0.666  0.090  0.332  -0.01
Te  0.002  0.247  0.004  -0.03
Te  0.998  0.753  0.996  -0.03
Te  0.329  0.424  0.659  0.00

## Properties
Electronic total energy in eV for the cell shown: -72.7
Space-group type: C2/m (12)
ΔE_f (raw) in eV/atom: -1.3370
V in A^3/atom: 30.90